[1]
# Ca3Tm2NpAs6 (PBE, relaxed)
data_Ca3Tm2NpAs6
_chemical_formula_sum 'Ca6 Tm4 Np2 As12'
_cell_length_a 7.145
_cell_length_b 12.368
_cell_length_c 7.254
_cell_angle_alpha 90.00
_cell_angle_beta 109.14
_cell_angle_gamma 90.00
_space_group_name_H-M_alt 'C 1 2/m 1'
_space_group_IT_number 12
loop_
_space_group_symop_operation_xyz
'x,y,z'
'-x,-y,-z'
'-x,y,-z'
'x,-y,z'
'x+1/2,y+1/2,z'
'-x+1/2,-y+1/2,-z'
'-x+1/2,y+1/2,-z'
'x+1/2,-y+1/2,z'
loop_
_atom_site_label
_atom_site_fract_x
_atom_site_fract_y
_atom_site_fract_z
_atom_site_occupancy
Ca1 0.000 0.000 0.000 1
Ca2 0.000 0.331 0.000 1
Tm1 0.000 0.166 0.500 1
Np1 0.000 0.500 0.500 1
As1 0.238 0.339 0.730 1
As2 0.245 0.500 0.271 1
# - Fermi-level density of states (states/eV per atom) = 0.14
# - total magnetization (μB/f.u.) = 1.06
# - ρ (g/cm³) = 6.28
# - formation enthalpy at 0 K (eV per atom) = -1.150



[2]
# Ca3NpU2As6 (PBE, relaxed)
data_Ca3NpU2As6
_chemical_formula_sum 'Ca6 Np2 U4 As12'
_cell_length_a 7.205
_cell_length_b 12.479
_cell_length_c 7.262
_cell_angle_alpha 90.00
_cell_angle_beta 109.31
_cell_angle_gamma 90.00
_space_group_name_H-M_alt 'C 1 2/m 1'
_space_group_IT_number 12
loop_
_space_group_symop_operation_xyz
'x,y,z'
'-x,-y,-z'
'-x,y,-z'
'x,-y,z'
'x+1/2,y+1/2,z'
'-x+1/2,-y+1/2,-z'
'-x+1/2,y+1/2,-z'
'x+1/2,-y+1/2,z'
loop_
_atom_site_label
_atom_site_fract_x
_atom_site_fract_y
_atom_site_fract_z
_atom_site_occupancy
Ca1 0.000 0.000 0.000 1
Ca2 0.000 0.334 0.000 1
Np1 0.000 0.500 0.500 1
U1 0.000 0.167 0.500 1
As1 0.240 0.000 0.731 1
As2 0.245 0.332 0.731 1
# - Fermi-level density of states (states/eV per atom) = 1.59
# - total magnetization (μB/f.u.) = 7.01
# - ρ (g/cm³) = 6.91
# - formation enthalpy at 0 K (eV per atom) = -0.955



[3]
# Ca3Np2UAs6 (PBE, relaxed)
data_Ca3Np2UAs6
_chemical_formula_sum 'Ca6 Np4 U2 As12'
_cell_length_a 7.221
_cell_length_b 12.507
_cell_length_c 7.246
_cell_angle_alpha 90.00
_cell_angle_beta 109.40
_cell_angle_gamma 90.00
_space_group_name_H-M_alt 'C 1 2/m 1'
_space_group_IT_number 12
loop_
_space_group_symop_operation_xyz
'x,y,z'
'-x,-y,-z'
'-x,y,-z'
'x,-y,z'
'x+1/2,y+1/2,z'
'-x+1/2,-y+1/2,-z'
'-x+1/2,y+1/2,-z'
'x+1/2,-y+1/2,z'
loop_
_atom_site_label
_atom_site_fract_x
_atom_site_fract_y
_atom_site_fract_z
_atom_site_occupancy
Ca1 0.000 0.000 0.000 1
Ca2 0.000 0.333 0.000 1
Np1 0.000 0.167 0.500 1
U1 0.000 0.500 0.500 1
As1 0.241 0.335 0.730 1
As2 0.247 0.000 0.730 1
# - Fermi-level density of states (states/eV per atom) = 1.84
# - total magnetization (μB/f.u.) = 8.00
# - ρ (g/cm³) = 6.90
# - formation enthalpy at 0 K (eV per atom) = -0.935



[4]
# Ca2NpUAs4 (PBE, relaxed)
data_Ca2NpUAs4
_chemical_formula_sum 'Ca2 Np1 U1 As4'
_cell_length_a 7.213
_cell_length_b 4.164
_cell_length_c 7.248
_cell_angle_alpha 90.00
_cell_angle_beta 109.35
_cell_angle_gamma 90.00
_space_group_name_H-M_alt 'P 1 2/m 1'
_space_group_IT_number 10
loop_
_space_group_symop_operation_xyz
'x,y,z'
'-x,-y,-z'
'-x,y,-z'
'x,-y,z'
loop_
_atom_site_label
_atom_site_fract_x
_atom_site_fract_y
_atom_site_fract_z
_atom_site_occupancy
Ca1 0.000 0.000 0.000 1
Ca2 0.500 0.500 0.000 1
Np1 0.000 0.500 0.500 1
U1 0.500 0.000 0.500 1
As1 0.247 0.000 0.730 1
As2 0.260 0.500 0.270 1
# - Fermi-level density of states (states/eV per atom) = 1.56
# - total magnetization (μB/f.u.) = 5.00
# - ρ (g/cm³) = 6.91
# - formation enthalpy at 0 K (eV per atom) = -0.947



[5]
# Ca3NpU3As8 (PBE, relaxed)
data_Ca3NpU3As8
_chemical_formula_sum 'Ca9 Np3 U9 As24'
_cell_length_a 8.2778
_cell_length_b 8.2778
_cell_length_c 20.5123
_cell_angle_alpha 90.00
_cell_angle_beta 90.00
_cell_angle_gamma 120.00
_space_group_name_H-M_alt 'R -3 m'
_space_group_IT_number 166
_space_group_name_Hall '-R 3 2"'
loop_
_atom_site_label
_atom_site_fract_x
_atom_site_fract_y
_atom_site_fract_z
_atom_site_occupancy
Ca1 0.0000 0.5000 0.0000 1
Np1 0.0000 0.0000 0.5000 1
U1 0.0000 0.5000 0.5000 1
As1 0.0000 0.0000 0.2440 1
As2 0.0050 0.5025 0.7586 1
# - Fermi-level density of states (states/eV per atom) = 1.76
# - total magnetization (μB/f.u.) = 7.01
# - ρ (g/cm³) = 6.84
# - formation enthalpy at 0 K (eV per atom) = -0.774



[6]
# Ca3Y2NpAs6 (PBE, relaxed)
data_Ca3Y2NpAs6
_chemical_formula_sum 'Ca6 Y4 Np2 As12'
_cell_length_a 7.197
_cell_length_b 12.459
_cell_length_c 7.269
_cell_angle_alpha 90.00
_cell_angle_beta 109.25
_cell_angle_gamma 90.00
_space_group_name_H-M_alt 'C 1 2/m 1'
_space_group_IT_number 12
loop_
_space_group_symop_operation_xyz
'x,y,z'
'-x,-y,-z'
'-x,y,-z'
'x,-y,z'
'x+1/2,y+1/2,z'
'-x+1/2,-y+1/2,-z'
'-x+1/2,y+1/2,-z'
'x+1/2,-y+1/2,z'
loop_
_atom_site_label
_atom_site_fract_x
_atom_site_fract_y
_atom_site_fract_z
_atom_site_occupancy
Ca1 0.000 0.000 0.000 1
Ca2 0.000 0.330 0.000 1
Y1 0.000 0.166 0.500 1
Np1 0.000 0.500 0.500 1
As1 0.237 0.340 0.732 1
As2 0.241 0.500 0.269 1
# - Fermi-level density of states (states/eV per atom) = 0.16
# - total magnetization (μB/f.u.) = 1.05
# - ρ (g/cm³) = 5.31
# - formation enthalpy at 0 K (eV per atom) = -1.167



[7]
# Ca2ZrNpAs4 (PBE, relaxed)
data_Ca2ZrNpAs4
_chemical_formula_sum 'Ca2 Zr1 Np1 As4'
_cell_length_a 7.032
_cell_length_b 4.078
_cell_length_c 7.207
_cell_angle_alpha 90.00
_cell_angle_beta 108.88
_cell_angle_gamma 90.00
_space_group_name_H-M_alt 'P 1 2/m 1'
_space_group_IT_number 10
loop_
_space_group_symop_operation_xyz
'x,y,z'
'-x,-y,-z'
'-x,y,-z'
'x,-y,z'
loop_
_atom_site_label
_atom_site_fract_x
_atom_site_fract_y
_atom_site_fract_z
_atom_site_occupancy
Ca1 0.000 0.000 0.000 1
Ca2 0.500 0.500 0.000 1
Zr1 0.000 0.500 0.500 1
Np1 0.500 0.000 0.500 1
As1 0.238 0.000 0.727 1
As2 0.250 0.500 0.271 1
# - Fermi-level density of states (states/eV per atom) = 1.12
# - total magnetization (μB/f.u.) = 2.97
# - ρ (g/cm³) = 6.01
# - formation enthalpy at 0 K (eV per atom) = -1.040



[8]
# Ca12As3O5 (PBE, relaxed)
data_Ca12As3O5
_chemical_formula_sum 'Ca96 As24 O40'
_cell_length_a 15.532
_cell_length_b 15.532
_cell_length_c 15.532
_cell_angle_alpha 90.00
_cell_angle_beta 90.00
_cell_angle_gamma 90.00
_space_group_name_H-M_alt 'I a -3 d'
_space_group_IT_number 230
_space_group_name_Hall '-I 4bd 2c 3'
loop_
_atom_site_label
_atom_site_fract_x
_atom_site_fract_y
_atom_site_fract_z
_atom_site_occupancy
Ca1 0.034 0.050 0.652 1
As1 0.000 0.250 0.125 1
O1 0.000 0.000 0.000 1
O2 0.000 0.250 0.375 1
# - formation energy (no corrections) (eV per atom) = -1.73
# - Fermi-level density of states (states/eV per atom) = 0.41
# - total magnetization (μB/f.u.) = 2.91
# - ρ (g/cm³) = 2.79



[9]
# CaAsO2 (PBE, relaxed)
data_CaAsO2
_chemical_formula_sum 'Ca3 As3 O6'
_cell_length_a 3.4115
_cell_length_b 3.4115
_cell_length_c 19.3348
_cell_angle_alpha 90.00
_cell_angle_beta 90.00
_cell_angle_gamma 120.00
_space_group_name_H-M_alt 'R -3 m'
_space_group_IT_number 166
_space_group_name_Hall '-R 3 2"'
loop_
_atom_site_label
_atom_site_fract_x
_atom_site_fract_y
_atom_site_fract_z
_atom_site_occupancy
Ca1 0.0000 0.0000 0.0000 1
As1 0.0000 0.0000 0.5000 1
O1 0.0000 0.0000 0.1126 1
# - formation energy (no corrections) (eV per atom) = -0.98
# - Fermi-level density of states (states/eV per atom) = 0.29
# - total magnetization (μB/f.u.) = 0.00
# - ρ (g/cm³) = 3.76



[10]
# Ca4As2O (PBE, relaxed)
data_Ca4As2O
_chemical_formula_sum 'Ca8 As4 O2'
_cell_length_a 4.567
_cell_length_b 4.567
_cell_length_c 15.493
_cell_angle_alpha 90.00
_cell_angle_beta 90.00
_cell_angle_gamma 90.00
_space_group_name_H-M_alt 'I 4/m m m'
_space_group_IT_number 139
_space_group_name_Hall '-I 4 2'
loop_
_atom_site_label
_atom_site_fract_x
_atom_site_fract_y
_atom_site_fract_z
_atom_site_occupancy
Ca1 0.000 0.000 0.172 1
Ca2 0.000 0.500 0.000 1
As1 0.000 0.000 0.363 1
O1 0.000 0.000 0.000 1
# - formation energy (no corrections) (eV per atom) = -1.72
# - total magnetization (μB/f.u.) = 0.00
# - ρ (g/cm³) = 3.35
# - ΔE to the lowest computed polymorph (eV per atom) = 0.000



For reference, electronic total energy by record: -139.18; -161.76; -164.57; -54.40; -304.86; -147.55; -52.41; -779.57; -61.49; -68.59 eV per cell.